Entry from Alexandria via LeMat-Bulk: a relaxed structure of MnCrPbO4 (GGA+U).

Calculated values
Total energy, eV per atom: -6.808
Size of the total moment, μB/atom: 1.0000
Crystal system: monoclinic

abc: 5.6802 5.3213 7.2831
angles: 90.00 104.66 90.00
Atoms (fractional coordinates):
Mn  0.1928  0.2500  0.1687
Mn  0.8072  0.7500  0.8313
Cr  0.3930  0.7500  0.0032
Cr  0.6070  0.2500  0.9968
Pb  0.2304  0.7500  0.5002
Pb  0.7696  0.2500  0.4998
O  0.1045  0.7500  0.0601
O  0.1180  0.2500  0.4198
O  0.4761  0.5185  0.8263
O  0.4761  0.9815  0.8263
O  0.5239  0.0185  0.1737
O  0.5239  0.4815  0.1737
O  0.8820  0.7500  0.5802
O  0.8955  0.2500  0.9399